Here is TlCr3O8 after structural relaxation from Alexandria. Energies are from PBE with a Hubbard U.

Results
relative energy among the computed polymorphs	10	meV/atom
density of states at the Fermi level	0.000	states/eV/atom
crystal system	trigonal
space-group type	P-3
total magnetization	3.0	μB/cell

```
12
Lattice="5.323 0.000 0.000 -2.661 4.610 0.000 0.000 0.000 7.881" Properties=species:S:1:pos:R:3 pbc="T T T"
Tl 0.000 0.000 0.000
Cr 0.000 0.000 3.941
Cr 0.000 3.073 5.651
Cr 2.661 1.537 2.230
O -0.424 1.534 5.133
O -1.121 4.210 5.133
O 1.116 1.134 2.748
O 0.000 3.073 7.284
O 2.661 1.537 0.598
O 1.545 3.475 5.133
O 3.782 0.399 2.748
O 3.086 3.076 2.748
```